Entry from Alexandria: a relaxed ZnCoAg2 crystal (PBE-GGA).

abc: 4.9303 4.9303 4.7520
angles: 75.13 75.13 33.28
With the nearest neighbours (Å) after each atom.
Atoms (fractional coordinates):
Ag1 0.9912 0.9912 0.0177  4 Co 2.75-2.79, 3 Zn 2.76-2.82, 5 Ag 2.82-2.92
Ag2 0.7607 0.7607 0.7279  4 Zn 2.72-2.82, 3 Co 2.73-2.83, 5 Ag 2.82-2.92
Co1 0.5126 0.5126 0.5011  2 Zn 2.55, 7 Ag 2.73-2.83, 2 Co 2.82
Zn1 0.2355 0.2355 0.2533  2 Co 2.55, 7 Ag 2.72-2.82, 2 Zn 2.82

Results
As for the volume: 61.1 Å³ per cell. For the total energy, the calculation gives -3.305 eV/atom. The value obtained for the density of states at the Fermi level is 1.016 states/eV per atom. The value obtained for the size of the total moment is 1.53 μB per cell.